# KScSi

A relaxed structure of KScSi (PBE, Alexandria via LeMat-Bulk).

Values from the calculation:
DOS(E_F) ... 0.000 states/eV/cell
Total DFT energy (no corrections) ... -4.415 eV per atom
Relative energy among the computed polymorphs ... 151.4 meV/atom

```
KScSi
1.0
8.5455 0.0000 0.0000
0.0000 4.8118 0.0000
0.0000 0.0000 7.7525
K Sc Si
4 4 4
Direct
0.0026 0.2500 0.1457
0.4974 0.7500 0.6457
0.5026 0.2500 0.3543
0.9974 0.7500 0.8543
0.1384 0.2500 0.5753
0.3616 0.7500 0.0753
0.6384 0.2500 0.9247
0.8616 0.7500 0.4247
0.1782 0.7500 0.3856
0.3218 0.2500 0.8856
0.6782 0.7500 0.1144
0.8218 0.2500 0.6144
```